Record 1
Tl2Ga2HgCl6: optimized geometry, GGA-PBE.

Output
The energy comes out at -2.97 eV/atom. The density of states at the Fermi level is 0.000 states/eV per atom. The calculation puts the formation energy from raw total energies at -10.5 eV/f.u.

Geometry as POSCAR:
```
Tl2Ga2HgCl6
1.0
7.276 0.000 0.000
3.153 7.352 0.000
1.663 3.151 7.724
Tl Ga Hg Cl
2 2 1 6
Direct
0.243 0.427 0.228 Tl
0.757 0.573 0.772 Tl
0.123 0.953 0.892 Ga
0.877 0.047 0.108 Ga
0.500 0.500 0.500 Hg
0.091 0.721 0.823 Cl
0.128 0.210 0.646 Cl
0.437 0.792 0.994 Cl
0.563 0.208 0.006 Cl
0.872 0.790 0.354 Cl
0.909 0.279 0.177 Cl
```

Record 2
In2Hg2Se: optimized geometry, GGA-PBE.

Output
The value obtained for the excess energy over the best structure of this formula in the dataset is 0 meV/atom. The energy comes out at -2.11 eV/atom. The density of states at the Fermi level is 0.201 states/eV per atom. The calculation puts the formation energy from raw total energies at -1.0 eV/f.u.

Geometry as POSCAR:
```
In2Hg2Se
1.0
2.054 1.186 9.517
-2.054 1.186 9.517
0.000 -2.372 9.517
In Hg Se
2 2 1
Direct
0.105 0.105 0.105 In
0.895 0.895 0.895 In
0.299 0.299 0.299 Hg
0.701 0.701 0.701 Hg
0.500 0.500 0.500 Se
```

Record 3
ZrCd3Pd6: optimized geometry, GGA-PBE.

Output
The energy comes out at -4.75 eV/atom. The density of states at the Fermi level is 0.343 states/eV per atom. The value obtained for the formation energy from the elements is -500 meV per atom.

Geometry as POSCAR:
```
ZrCd3Pd6
1.0
8.785 0.000 0.000
0.000 4.203 0.000
-0.735 0.000 9.337
Zr Cd Pd
2 6 12
Direct
0.060 0.250 0.376 Zr
0.940 0.750 0.624 Zr
0.247 0.250 0.011 Cd
0.347 0.750 0.804 Cd
0.451 0.250 0.601 Cd
0.549 0.750 0.399 Cd
0.653 0.250 0.196 Cd
0.753 0.750 0.989 Cd
0.052 0.750 0.905 Pd
0.145 0.250 0.695 Pd
0.149 0.750 0.208 Pd
0.239 0.750 0.502 Pd
0.355 0.250 0.302 Pd
0.451 0.750 0.101 Pd
0.549 0.250 0.899 Pd
0.645 0.750 0.698 Pd
0.761 0.250 0.498 Pd
0.851 0.250 0.792 Pd
0.855 0.750 0.305 Pd
0.948 0.250 0.095 Pd
```

Q: Which magnetization values were calculated for the entries above? A: 0.000 0.000 0.000, in μB per atom.